A plane-wave DFT calculation with PBE was carried out for Tb3Pm4Dy8 after structural relaxation.

Computed properties:
polymorph energy (0 for the lowest one): 0.245 eV/atom
DFT total energy: -4.277 eV per atom
crystal system: monoclinic
DFT formation energy: 370 meV per atom

Cell lengths 13.4262, 12.8147, 6.7684 Å; angles 90.00, 120.14, 90.00 degrees
Last column: nearest neighbours and their distance in Å.
Space group C2/m (No. 12)
Symmetry-distinct sites (fractional):
Tb: 0.0000 0.0000 0.0000  6 Dy 3.13-3.22
Tb: 0.2500 0.2500 0.5000  4 Dy 3.21-3.36, 2 Pm 3.38
Pm: 0.0000 0.5000 0.0000  6 Dy 3.27-3.51, 2 Pm 3.38
Pm: 0.0000 0.5000 0.5000  2 Pm 3.38, 4 Dy 3.54-3.62
Pm: 0.2500 0.2500 0.0000  4 Dy 3.21-3.36, 2 Tb 3.38
Dy: 0.0000 0.1395 0.5000  7 Dy 3.58-3.64, 4 Tb 3.64-3.83, 2 Pm 3.65
Dy: 0.0000 0.2446 0.0000  3 Tb 3.13-3.36, 3 Pm 3.27-3.36
Dy: 0.2301 0.0000 0.9632  3 Pm 3.21-3.51, 1 Tb 3.22, 4 Dy 3.24-3.58
Dy: 0.2334 0.0000 0.4886  3 Tb 3.21-3.22, 2 Dy 3.24-3.53, 2 Pm 3.51-3.54